## HfAl2Zn (PBEsol)

Data for an optimized crystal structure of HfAl2Zn.

Results
DFT formation energy: -0.3975 eV per atom
Crystal system: tetragonal
DOS at the Fermi energy: 1.05 states/eV per cell
Final energy: -5.46 eV per atom
Size of the total moment: 0.0 μB per formula unit

abc: 4.0267 4.0267 3.9861
angles: 90.00 90.00 90.00
Closest atoms and distances in Å follow each position.
Element x y z (fractional)
Hf1 0.0000 0.0000 0.0000  8 Al 2.83, 4 Zn 2.85
Al1 0.0000 0.5000 0.5000  4 Zn 2.83, 4 Hf 2.83, 4 Al 2.85
Al2 0.5000 0.0000 0.5000  4 Zn 2.83, 4 Hf 2.83, 4 Al 2.85
Zn1 0.5000 0.5000 0.0000  8 Al 2.83, 4 Hf 2.85



## PbAu2Br (PBEsol)

Data for an optimized crystal structure of PbAu2Br.

Results
Crystal system: orthorhombic
DOS at the Fermi energy: 1.11 states/eV per cell
Formation energy from raw total energies: 93 meV per atom
Final energy: -3.34 eV per atom
Excess energy over the best structure of this formula in the dataset: 0.027 eV per atom
Size of the total moment: 0.0 μB per formula unit

abc: 3.8783 4.3130 5.4108
angles: 90.00 90.00 90.00
Closest atoms and distances in Å follow each position.
Element x y z (fractional)
Pb1 0.0000 0.0000 0.0000  4 Br 2.90
Au1 0.0000 0.5000 0.5000  4 Au 2.90
Au2 0.5000 0.0000 0.5000  4 Au 2.90
Br1 0.5000 0.5000 0.0000  4 Pb 2.90



## Zn3SiNi2 (PBEsol)

Data for an optimized crystal structure of Zn3SiNi2.

Results
Crystal system: cubic
DOS at the Fermi energy: 9.02 states/eV per cell
Formation energy from raw total energies: -368 meV per atom
Final energy: -4.17 eV per atom
Size of the total moment: 0.0 μB per formula unit

abc: 7.4729 7.4729 7.4729
angles: 60.00 60.00 60.00
Closest atoms and distances in Å follow each position.
Element x y z (fractional)
Zn1 0.0609 0.0609 0.6891  4 Ni 2.46-2.73, 2 Si 2.74
Zn2 0.0609 0.6891 0.0609  4 Ni 2.46-2.73, 2 Si 2.74
Zn3 0.0609 0.6891 0.6891  4 Ni 2.46-2.73, 2 Si 2.74
Zn4 0.3109 0.3109 0.9391  4 Ni 2.46-2.73, 2 Si 2.74
Zn5 0.3109 0.9391 0.3109  4 Ni 2.46-2.73, 2 Si 2.74
Zn6 0.3109 0.9391 0.9391  4 Ni 2.46-2.73, 2 Si 2.74
Zn7 0.6891 0.0609 0.0609  4 Ni 2.46-2.73, 2 Si 2.74
Zn8 0.6891 0.0609 0.6891  4 Ni 2.46-2.73, 2 Si 2.74
Zn9 0.6891 0.6891 0.0609  4 Ni 2.46-2.73, 2 Si 2.74
Zn10 0.9391 0.3109 0.3109  4 Ni 2.46-2.73, 2 Si 2.74
Zn11 0.9391 0.3109 0.9391  4 Ni 2.46-2.73, 2 Si 2.74
Zn12 0.9391 0.9391 0.3109  4 Ni 2.46-2.73, 2 Si 2.74
Si1 0.0000 0.5000 0.5000  6 Ni 2.31
Si2 0.5000 0.0000 0.5000  6 Ni 2.31
Si3 0.5000 0.5000 0.0000  6 Ni 2.31
Si4 0.5000 0.5000 0.5000  6 Ni 2.31
Ni1 0.2887 0.2887 0.2887  3 Si 2.31, 3 Zn 2.46, 3 Ni 2.58
Ni2 0.2887 0.2887 0.6338  3 Si 2.31, 3 Zn 2.46, 3 Ni 2.58
Ni3 0.2887 0.6338 0.2887  3 Si 2.31, 3 Zn 2.46, 3 Ni 2.58
Ni4 0.3662 0.7113 0.7113  3 Si 2.31, 3 Zn 2.46, 3 Ni 2.58
Ni5 0.6338 0.2887 0.2887  3 Si 2.31, 3 Zn 2.46, 3 Ni 2.58
Ni6 0.7113 0.3662 0.7113  3 Si 2.31, 3 Zn 2.46, 3 Ni 2.58
Ni7 0.7113 0.7113 0.3662  3 Si 2.31, 3 Zn 2.46, 3 Ni 2.58
Ni8 0.7113 0.7113 0.7113  3 Si 2.31, 3 Zn 2.46, 3 Ni 2.58